Compound: LiBe2Pb
Source: Alexandria via LeMat-Bulk
Functional: GGA-PBEsol
Structure: optimized geometry

a = 4.3555 Å, b = 4.3555 Å, c = 4.3555 Å
α = 60.00°, β = 60.00°, γ = 60.00°
Last column: nearest neighbours and their distance in Å.
Positions (direct):
Li  0.0000  0.0000  0.0000  4 Pb 2.67, 4 Be 2.67
Be  0.2500  0.2500  0.2500  4 Li 2.67, 4 Be 2.67
Be  0.5000  0.5000  0.5000  4 Pb 2.67, 4 Be 2.67
Pb  0.7500  0.7500  0.7500  4 Li 2.67, 4 Be 2.67

**Density of states at the Fermi level**: 0.267 states/eV per atom
**ΔE_f**: 440 meV/atom
**Crystal system**: cubic
**Space-group type**: F-43m, No. 216
**Electronic total energy**: -3.051 eV per atom